ZrS2N | the Alexandria database | PBE-GGA | relaxed; calculated volume = 18.48 Å³/atom; DOS(E_F) = 8.542 states/eV per cell; VASP energy = -46.7 eV per cell
1.0
-0.868 -0.636 5.010
0.872 -5.026 -0.487
5.467 -1.985 3.316
Zr N S
2 2 4
Direct
0.750 0.250 0.500
0.000 0.000 0.000
0.250 0.750 0.500
0.500 0.500 0.000
0.875 0.808 0.750
0.558 0.125 0.250
0.192 0.625 0.250
0.375 0.442 0.750